Computed, not measured: Ac2VHgO6 after structural relaxation at the PBE+U level of DFT.

Calculated values
total moment	0.00	μB per atom
calculated volume	17.057	A^3/atom
final energy	-6.823	eV per atom
symmetry	P4mm

Cell: 5.073 5.799 5.799 Å, 90.00 90.00 90.00°
Fractional positions:
O 0.738 0.215 0.785
O 0.077 0.500 0.500
O 0.738 0.785 0.785
O 0.271 0.000 0.000
O 0.738 0.215 0.215
O 0.738 0.785 0.215
V 0.618 0.000 0.000
Ac 0.003 0.500 0.000
Ac 0.003 0.000 0.500
Hg 0.525 0.500 0.500